# Rb3Pu2NiO9

Crystalline Rb3Pu2NiO9 at its relaxed geometry (GGA+U, Alexandria via LeMat-Bulk).

Lattice parameters (Å, degrees): 5.957 5.957 7.322 90.00 90.00 120.00
Last column: magnetic moment on the atom in μB.
Fractional positions:
Pu 0.667 0.333 0.826  2.11
Pu 0.333 0.667 0.174  2.11
O 0.827 0.173 0.674  -0.10
O 0.000 0.500 0.000  -0.11
O 0.500 0.500 0.000  -0.11
O 0.173 0.345 0.326  -0.10
O 0.655 0.827 0.326  -0.10
O 0.500 0.000 0.000  -0.11
O 0.827 0.655 0.674  -0.10
O 0.345 0.173 0.674  -0.10
O 0.173 0.827 0.326  -0.10
Rb 0.333 0.667 0.659  0.00
Rb 0.667 0.333 0.341  0.00
Rb 0.000 0.000 0.000  0.00
Ni 0.000 0.000 0.500  1.75

Computed properties:
Its total magnetization is 5.000 μB per formula unit. Its space group is P-3m1 (164). Its energy is -0.5362 Ry/atom.